Nd2Y4Mg: optimized geometry, GGA-PBE.

**Formation energy**: 17.9 kJ per mole of atoms
**DOS(E_F)**: 17.92 states/eV/cell
**Crystal system**: orthorhombic
**Relative energy among the computed polymorphs**: 6.3 kJ/mol of atoms
**Space group**: Imma (74)

extended XYZ file:
```
14
Lattice="6.6967 0.0000 0.0000 3.3483 8.2148 -1.1943 3.3483 1.5448 8.1562" Properties=species:S:1:pos:R:3 pbc="T T T"
Nd 6.6967 8.7339 2.7031
Nd 3.3483 0.0000 0.0000
Nd 6.6967 4.8798 3.4809
Nd 6.6967 1.0257 4.2588
Y 3.3483 3.5163 2.2818
Y 6.6967 8.1820 6.0629
Y 4.8789 3.1335 5.7624
Y 8.5145 3.1335 5.7624
Y 4.8789 6.6261 1.1995
Y 6.6967 1.5776 0.8989
Y 8.5145 6.6261 1.1995
Y 10.0450 6.2433 4.6800
Mg 1.6742 4.1074 -0.5972
Mg 5.0225 4.1074 -0.5972
```


NdY2Mg9: optimized geometry, GGA-PBE.

**Formation energy**: -6.4 kJ per mole of atoms
**DOS(E_F)**: 11.48 states/eV/cell
**Crystal system**: trigonal
**Space group**: R-3m (166)

extended XYZ file:
```
12
Lattice="6.0645 0.0000 0.0000 3.0323 5.2520 0.0000 3.0323 1.7507 9.7546" Properties=species:S:1:pos:R:3 pbc="T T T"
Nd 0.0000 0.0000 0.0000
Y 9.0968 5.2520 4.1874
Y 3.0323 1.7507 5.5672
Mg 6.0645 3.5014 0.0215
Mg 6.0645 3.5014 9.7331
Mg 6.0645 3.5014 4.8773
Mg 4.5248 2.6124 2.4763
Mg 7.6043 2.6124 2.4763
Mg 6.0645 5.2793 2.4763
Mg 7.6043 4.3903 7.2783
Mg 6.0645 1.7234 7.2783
Mg 4.5248 4.3903 7.2783
```


NdYMg2: optimized geometry, GGA-PBE.

**Formation energy**: -10.6 kJ per mole of atoms
**DOS(E_F)**: 4.19 states/eV/cell
**Crystal system**: tetragonal
**Space group**: P4/mmm (123)

extended XYZ file:
```
4
Lattice="3.8700 0.0000 0.0000 0.0000 5.4146 0.0000 0.0000 0.0000 5.4146" Properties=species:S:1:pos:R:3 pbc="T T T"
Y 1.9350 0.0000 0.0000
Mg 0.0000 0.0000 2.7073
Mg 0.0000 2.7073 0.0000
Nd 1.9350 2.7073 2.7073
```


Nd3YMg4: optimized geometry, GGA-PBE.

**Formation energy**: -10.4 kJ per mole of atoms
**DOS(E_F)**: 9.85 states/eV/cell
**Crystal system**: tetragonal
**Space group**: P4/mmm (123)

extended XYZ file:
```
8
Lattice="3.8601 0.0000 0.0000 0.0000 3.8601 0.0000 0.0000 0.0000 15.5236" Properties=species:S:1:pos:R:3 pbc="T T T"
Y 1.9300 1.9300 0.0000
Mg 0.0000 0.0000 13.6695
Mg 0.0000 0.0000 1.8541
Mg 0.0000 0.0000 5.7853
Mg 0.0000 0.0000 9.7383
Nd 1.9300 1.9300 3.8212
Nd 1.9300 1.9300 7.7618
Nd 1.9300 1.9300 11.7024
```


Nd2YMg: optimized geometry, GGA-PBE.

**Formation energy**: 8.3 kJ per mole of atoms
**DOS(E_F)**: 6.24 states/eV/cell
**Crystal system**: orthorhombic
**Relative energy among the computed polymorphs**: 11.5 kJ/mol of atoms
**Space group**: Amm2 (38)

extended XYZ file:
```
4
Lattice="-3.0244 0.8254 1.7158 -0.2932 -3.3128 1.0769 5.5940 3.9387 7.9655" Properties=species:S:1:pos:R:3 pbc="T T T"
Nd 3.4839 2.5059 8.6573
Nd 0.3646 -0.3960 4.5551
Y 3.3780 1.4153 5.2734
Mg 0.7744 0.3245 1.2090
```


Nd4Y8Mg: optimized geometry, GGA-PBE.

**Formation energy**: 52.8 kJ per mole of atoms
**DOS(E_F)**: 22.62 states/eV/cell
**Crystal system**: trigonal
**Space group**: R-3m (166)

extended XYZ file:
```
13
Lattice="9.7269 -0.0008 -5.2479 -6.2787 9.0957 -0.0005 -2.3598 -1.6285 7.2648" Properties=species:S:1:pos:R:3 pbc="T T T"
Nd 0.0000 0.0000 0.0000
Nd -5.4991 2.9193 7.2645
Nd 1.7241 4.5475 -2.6242
Nd 4.8635 -0.0004 -2.6240
Y -0.3956 6.4418 -0.7341
Y 1.4840 1.0246 2.7504
Y 2.6323 1.8171 -0.7927
Y -3.3118 0.9864 5.4998
Y -1.5439 5.6493 2.8090
Y -6.5308 5.6497 5.4996
Y 7.6193 1.8167 -3.4832
Y 4.4002 6.4800 -3.4835
Mg -4.3192 3.7336 3.6321
```